Entry 1:
A plane-wave DFT calculation with meta-GGA SCAN was carried out for a PBEsol-optimized structure of Ho3Pd2.

abc: 7.623 7.623 3.864
angles: 90.00 90.00 90.00
Positions (direct):
Ho 0.000 0.000 0.000
Ho 0.165 0.335 0.500
Ho 0.335 0.835 0.500
Ho 0.500 0.500 0.000
Ho 0.665 0.165 0.500
Ho 0.835 0.665 0.500
Pd 0.132 0.632 0.000
Pd 0.368 0.132 0.000
Pd 0.632 0.868 0.000
Pd 0.868 0.368 0.000

- SG = No. 127
- formation enthalpy at 0 K (meV per atom) = -838
- crystal system = tetragonal



Entry 2:
A plane-wave DFT calculation with meta-GGA SCAN was carried out for a PBEsol-optimized structure of NaTl.

abc: 9.441 9.441 7.659
angles: 90.00 90.00 94.17
Positions (direct):
Na 0.062 0.438 0.750
Na 0.153 0.153 0.000
Na 0.211 0.789 0.946
Na 0.289 0.711 0.446
Na 0.347 0.347 0.500
Na 0.438 0.062 0.250
Na 0.562 0.938 0.750
Na 0.653 0.653 0.500
Na 0.711 0.289 0.554
Na 0.789 0.211 0.054
Na 0.847 0.847 0.000
Na 0.938 0.562 0.250
Tl 0.031 0.253 0.373
Tl 0.070 0.930 0.300
Tl 0.247 0.469 0.127
Tl 0.253 0.031 0.627
Tl 0.430 0.570 0.800
Tl 0.469 0.247 0.873
Tl 0.531 0.753 0.127
Tl 0.570 0.430 0.200
Tl 0.747 0.969 0.373
Tl 0.753 0.531 0.873
Tl 0.930 0.070 0.700
Tl 0.969 0.747 0.627

- SG = No. 64
- formation enthalpy at 0 K (meV per atom) = -178
- crystal system = orthorhombic



Entry 3:
A plane-wave DFT calculation with meta-GGA SCAN was carried out for a PBEsol-optimized structure of Re2PSe.

abc: 2.800 2.800 9.439
angles: 90.00 90.00 118.30
Positions (direct):
Re 0.000 0.000 0.000
Re 0.500 0.500 0.239
P 0.500 0.500 0.796
Se 0.000 0.000 0.465

- E above lowest polymorph (eV/f.u.) = 1.722
- SG = No. 35
- crystal system = orthorhombic



Entry 4:
A plane-wave DFT calculation with meta-GGA SCAN was carried out for a PBEsol-optimized structure of YCr4Hg.

abc: 5.015 5.015 5.015
angles: 60.00 60.00 60.00
Positions (direct):
Y 0.000 0.000 0.000
Cr 0.376 0.376 0.376
Cr 0.376 0.376 0.873
Cr 0.376 0.873 0.376
Cr 0.873 0.376 0.376
Hg 0.750 0.750 0.750

- SG = No. 216
- formation enthalpy at 0 K (meV per atom) = 464
- crystal system = cubic



Entry 5:
A plane-wave DFT calculation with meta-GGA SCAN was carried out for a PBEsol-optimized structure of Ba2CdCu.

abc: 3.948 3.948 8.267
angles: 90.00 90.00 90.00
Positions (direct):
Ba 0.000 0.000 0.229
Ba 0.000 0.000 0.771
Cd 0.500 0.500 0.500
Cu 0.500 0.500 0.000

- SG = No. 123
- formation enthalpy at 0 K (meV per atom) = -96
- crystal system = tetragonal



Entry 6:
A plane-wave DFT calculation with meta-GGA SCAN was carried out for a PBEsol-optimized structure of ZnCr2Hg.

abc: 4.807 4.807 4.807
angles: 132.01 132.01 70.21
Positions (direct):
Zn 0.000 0.000 0.000
Cr 0.500 0.500 0.000
Cr 0.750 0.250 0.500
Hg 0.250 0.750 0.500

- E above lowest polymorph (eV/f.u.) = 0.000
- SG = No. 119
- formation enthalpy at 0 K (meV per atom) = 43
- crystal system = tetragonal



Entry 7:
A plane-wave DFT calculation with meta-GGA SCAN was carried out for a PBEsol-optimized structure of Mg5Tl3.

abc: 8.513 8.513 6.008
angles: 90.00 90.00 120.00
Positions (direct):
Mg 0.000 0.233 0.250
Mg 0.000 0.767 0.750
Mg 0.233 0.000 0.250
Mg 0.233 0.233 0.750
Mg 0.333 0.667 0.000
Mg 0.333 0.667 0.500
Mg 0.667 0.333 0.000
Mg 0.667 0.333 0.500
Mg 0.767 0.000 0.750
Mg 0.767 0.767 0.250
Tl 0.000 0.396 0.750
Tl 0.000 0.604 0.250
Tl 0.396 0.000 0.750
Tl 0.396 0.396 0.250
Tl 0.604 0.000 0.250
Tl 0.604 0.604 0.750

- E above lowest polymorph (eV/f.u.) = 0.000
- SG = No. 193
- formation enthalpy at 0 K (meV per atom) = -147
- crystal system = hexagonal



Entry 8:
A plane-wave DFT calculation with meta-GGA SCAN was carried out for a PBEsol-optimized structure of CrAg2W.

abc: 4.462 2.849 4.936
angles: 90.00 104.86 90.00
Positions (direct):
Cr 0.000 0.000 0.000
Ag 0.000 0.500 0.500
Ag 0.500 0.000 0.500
W 0.500 0.500 0.000

- E above lowest polymorph (eV/f.u.) = 0.000
- SG = No. 10
- formation enthalpy at 0 K (meV per atom) = 629
- crystal system = monoclinic



Number 1: spin magnetization 0.0 μB/cell, calculated volume 224.55 Å³ per cell. Number 2: spin magnetization 0.0 μB/cell, calculated volume 680.87 Å³ per cell. Number 3: spin magnetization 0.0 μB/cell, calculated volume 65.17 Å³ per cell. Number 4: spin magnetization 0.0 μB/cell, calculated volume 89.18 Å³ per cell. Number 5: spin magnetization 0.0 μB/cell, calculated volume 128.88 Å³ per cell. Number 6: spin magnetization 0.2 μB/cell, calculated volume 60.10 Å³ per cell. Number 7: spin magnetization 0.0 μB/cell, calculated volume 377.08 Å³ per cell. Number 8: spin magnetization 2.0 μB/cell, calculated volume 60.65 Å³ per cell.